Density functional theory data (GGA-PBE) for AlGeP after structural relaxation.

POSCAR file:
```
AlGeP
1.0
-0.231 5.808 1.009
0.421 -0.653 3.854
6.171 -2.417 -1.084
Ge P Al
2 2 2
Cartesian
2.025 1.655 2.064
0.385 2.446 0.372
4.997 -1.758 -0.844
2.092 -0.695 1.659
0.357 4.919 0.794
3.654 3.580 2.212
```

Results
The calculation puts the energy relative to the elements at -234 meV/atom. The value obtained for the total energy is -28.94 eV/cell.

---

Density functional theory data (GGA-PBE) for BaBiBrF2 after structural relaxation.

POSCAR file:
```
BaBiBrF2
1.0
5.237 0.000 0.000
0.000 5.347 0.000
0.000 0.000 5.237
F Br Bi Ba
2 1 1 1
Cartesian
2.618 0.000 0.000
0.000 0.000 2.618
0.000 0.000 0.000
0.000 2.673 0.000
2.618 2.673 2.618
```

Results
The value obtained for the total energy is -16.61 eV/cell.

---

no.,mass density (g/cm3)
1,3.07
2,5.26